# 1
Entry from Alexandria: an optimized crystal structure of Pr2ZnTe (PBE).

Lattice parameters (Å, degrees): 8.0712 8.0712 8.0712 31.07 31.07 31.07
Element x y z (fractional)
Pr: 0.2484 0.2484 0.2484
Pr: 0.7516 0.7516 0.7516
Zn: 0.5000 0.5000 0.5000
Te: 0.0000 0.0000 0.0000


# 2
Entry from Alexandria: an optimized crystal structure of Pr2Zn2Te (PBE).

Lattice parameters (Å, degrees): 8.1815 8.1815 8.1815 31.69 31.69 31.69
Element x y z (fractional)
Pr: 0.0839 0.0839 0.0839
Pr: 0.9161 0.9161 0.9161
Zn: 0.3328 0.3328 0.3328
Zn: 0.6672 0.6672 0.6672
Te: 0.5000 0.5000 0.5000


# 3
Entry from Alexandria: an optimized crystal structure of Pr2ZnTe (PBE).

Lattice parameters (Å, degrees): 8.5351 8.5351 8.5351 28.60 28.60 28.60
Element x y z (fractional)
Pr: 0.0000 0.0000 0.0000
Pr: 0.1673 0.1673 0.1673
Zn: 0.7510 0.7510 0.7510
Te: 0.5825 0.5825 0.5825


| no. | total DFT energy (no corrections) (eV/cell) | E_form (uncorrected) (eV/atom) |
| --- | --- | --- |
| 1 | -17.21 | -0.809 |
| 2 | -19.21 | -0.793 |
| 3 | -16.75 | -0.693 |